[1]
VASP calculation (PBE) on La12YSn3 after structural relaxation.

Properties
E_form   -0.350 eV per atom

Lattice parameters (Å, degrees): 5.0626 5.0626 20.5083 90.00 90.00 90.00
With the nearest neighbours (Å) after each atom.
Positions (direct):
La  0.5000  0.0000  0.8676  2 Sn 3.57, 8 La 3.58-3.71, 2 Y 3.71
La  0.5000  0.5000  0.7439  8 La 3.56-3.58, 4 Sn 3.58
La  0.5000  0.5000  0.2561  8 La 3.56-3.58, 4 Sn 3.58
La  0.0000  0.5000  0.6218  8 La 3.56-3.58, 4 Sn 3.56-3.57
La  0.0000  0.5000  0.1324  2 Sn 3.57, 8 La 3.58-3.71, 2 Y 3.71
La  0.0000  0.5000  0.8676  2 Sn 3.57, 8 La 3.58-3.71, 2 Y 3.71
La  0.5000  0.5000  0.0000  4 Y 3.58, 8 La 3.71
La  0.5000  0.0000  0.6218  8 La 3.56-3.58, 4 Sn 3.56-3.57
La  0.5000  0.5000  0.5000  8 La 3.56, 4 Sn 3.58
La  0.5000  0.0000  0.3782  4 Sn 3.56-3.57, 8 La 3.56-3.58
La  0.0000  0.5000  0.3782  8 La 3.56-3.58, 4 Sn 3.56-3.57
La  0.5000  0.0000  0.1324  2 Sn 3.57, 8 La 3.58-3.71, 2 Y 3.71
Sn  0.0000  0.0000  0.5000  12 La 3.56-3.58
Sn  0.0000  0.0000  0.7446  12 La 3.57-3.58
Sn  0.0000  0.0000  0.2554  12 La 3.57-3.58
Y  0.0000  0.0000  0.0000  12 La 3.58-3.71

=====

[2]
VASP calculation (PBE) on LaY4Sn4 after structural relaxation.

Properties
E_form   -0.492 eV per atom

Lattice parameters (Å, degrees): 6.1335 9.9861 9.9861 90.00 90.00 90.00
With the nearest neighbours (Å) after each atom.
Positions (direct):
Sn  0.5967  0.2062  0.6443  1 Sn 2.96, 5 Y 3.07-3.21
Sn  0.4033  0.6443  0.7938  1 Sn 2.96, 5 Y 3.07-3.21
Sn  0.9033  0.2938  0.8557  1 Sn 2.96, 5 Y 3.07-3.21
Sn  0.9033  0.7062  0.1443  1 Sn 2.96, 5 Y 3.07-3.21
Sn  0.5967  0.7938  0.3557  1 Sn 2.96, 5 Y 3.07-3.21
Sn  0.0967  0.8557  0.7062  1 Sn 2.96, 5 Y 3.07-3.21
Sn  0.0967  0.1443  0.2938  1 Sn 2.96, 5 Y 3.07-3.21
Sn  0.4033  0.3557  0.2062  1 Sn 2.96, 5 Y 3.07-3.21
Y  0.3920  0.3513  0.8928  5 Sn 3.07-3.21
Y  0.6080  0.1072  0.3513  5 Sn 3.07-3.21
Y  0.1080  0.1487  0.6072  5 Sn 3.07-3.21
Y  0.8920  0.3928  0.1487  5 Sn 3.07-3.21
Y  0.3920  0.6487  0.1072  5 Sn 3.07-3.21
Y  0.1080  0.8513  0.3928  5 Sn 3.07-3.21
Y  0.6080  0.8928  0.6487  5 Sn 3.07-3.21
Y  0.8920  0.6072  0.8513  5 Sn 3.07-3.21
La  0.0000  0.0000  0.0000  4 Sn 3.32
La  0.5000  0.5000  0.5000  4 Sn 3.32

=====

[3]
VASP calculation (PBE) on La2YSn after structural relaxation.

Properties
E_form   -0.144 eV per atom

Lattice parameters (Å, degrees): 9.2074 9.2074 7.2519 50.59 50.59 90.00
With the nearest neighbours (Å) after each atom.
Positions (direct):
La  0.6533  0.1250  0.2500  2 Sn 3.18, 2 La 3.24, 2 Y 3.54
La  0.8750  0.9033  0.7500  2 Sn 3.18, 2 La 3.24, 2 Y 3.54
La  0.3750  0.3467  0.7500  2 Sn 3.18, 2 La 3.24, 2 Y 3.54
La  0.0967  0.6250  0.2500  2 Sn 3.18, 2 La 3.24, 2 Y 3.54
Y  0.5000  0.5000  0.0000  2 Sn 3.19, 4 La 3.54
Y  0.2500  0.7500  0.5000  2 Sn 3.19, 4 La 3.54
Sn  0.7500  0.2500  0.5000  4 La 3.18, 2 Y 3.19
Sn  0.0000  0.0000  0.0000  4 La 3.18, 2 Y 3.19

=====

[4]
VASP calculation (PBE) on La5Y2Sn5 after structural relaxation.

Properties
E_form   -0.601 eV per atom

Lattice parameters (Å, degrees): 4.5524 7.9371 13.0641 109.88 90.00 106.67
With the nearest neighbours (Å) after each atom.
Positions (direct):
Sn  0.0000  0.0000  0.0000  2 Y 3.10, 4 La 3.26
Sn  0.8840  0.7679  0.5749  1 Y 3.00, 5 La 3.15-3.24
Sn  0.3134  0.6267  0.2096  2 Y 3.10, 5 La 3.39-3.42
Sn  0.6866  0.3733  0.7904  2 Y 3.10, 5 La 3.39-3.42
Sn  0.1160  0.2321  0.4251  1 Y 3.00, 5 La 3.15-3.24
La  0.5000  0.0000  0.5000  4 Sn 3.24
La  0.2743  0.5487  0.6591  5 Sn 3.15-3.39
La  0.3379  0.6759  0.9590  5 Sn 3.26-3.42
La  0.6621  0.3241  0.0410  5 Sn 3.26-3.42
La  0.7257  0.4513  0.3409  5 Sn 3.15-3.39
Y  0.9526  0.9052  0.2120  4 Sn 3.00-3.10
Y  0.0474  0.0948  0.7880  4 Sn 3.00-3.10

=====

[5]
VASP calculation (PBE) on La3YSn4 after structural relaxation.

Properties
E_form   -0.622 eV per atom

Lattice parameters (Å, degrees): 4.1645 7.1876 9.8194 111.46 102.24 90.00
With the nearest neighbours (Å) after each atom.
Positions (direct):
La  0.2045  0.2045  0.4091  6 Sn 3.28-3.34
La  0.0000  0.5000  0.0000  8 Sn 3.41
La  0.7955  0.7955  0.5909  6 Sn 3.28-3.34
Y  0.5000  0.0000  0.0000  4 Sn 3.10
Sn  0.3730  0.5782  0.7461  1 Sn 2.95, 1 Y 3.10, 2 La 3.28
Sn  0.3731  0.1680  0.7461  1 Sn 2.95, 1 Y 3.10, 2 La 3.28
Sn  0.6270  0.4218  0.2539  1 Sn 2.95, 1 Y 3.10, 2 La 3.28
Sn  0.6269  0.8320  0.2539  1 Sn 2.95, 1 Y 3.10, 2 La 3.28

=====

[6]
VASP calculation (PBE) on La3Y2Sn3 after structural relaxation.

Properties
E_form   -0.727 eV per atom

Lattice parameters (Å, degrees): 6.7487 9.3299 9.3299 120.00 90.00 90.00
With the nearest neighbours (Å) after each atom.
Positions (direct):
Sn  0.2500  0.3976  0.0000  3 La 3.24-3.33, 4 Y 3.32
Sn  0.7500  0.0000  0.6024  3 La 3.24-3.33, 4 Y 3.32
Sn  0.7500  0.6024  0.0000  3 La 3.24-3.33, 4 Y 3.32
Sn  0.2500  0.6024  0.6024  3 La 3.24-3.33, 4 Y 3.32
Sn  0.7500  0.3976  0.3976  3 La 3.24-3.33, 4 Y 3.32
Sn  0.2500  0.0000  0.3976  3 La 3.24-3.33, 4 Y 3.32
La  0.7500  0.0000  0.2459  3 Sn 3.24-3.33
La  0.2500  0.0000  0.7541  3 Sn 3.24-3.33
La  0.7500  0.7541  0.7541  3 Sn 3.24-3.33
La  0.2500  0.2459  0.2459  3 Sn 3.24-3.33
La  0.2500  0.7541  0.0000  3 Sn 3.24-3.33
La  0.7500  0.2459  0.0000  3 Sn 3.24-3.33
Y  0.0000  0.3333  0.6667  6 Sn 3.32, 2 Y 3.37
Y  0.0000  0.6667  0.3333  6 Sn 3.32, 2 Y 3.37
Y  0.5000  0.3333  0.6667  6 Sn 3.32, 2 Y 3.37
Y  0.5000  0.6667  0.3333  6 Sn 3.32, 2 Y 3.37

=====

[7]
VASP calculation (PBE) on LaY2Sn2 after structural relaxation.

Properties
E_form   -0.497 eV per atom
Distance to the lowest polymorph of the same formula   168 meV/atom

Lattice parameters (Å, degrees): 4.2073 5.7033 13.1462 96.72 90.00 90.00
With the nearest neighbours (Å) after each atom.
Positions (direct):
Sn  0.7500  0.2121  0.3420  5 Y 3.05-3.34
Sn  0.7500  0.6630  0.0444  4 Y 2.90-3.14, 2 Sn 2.96
Sn  0.2500  0.3370  0.9556  4 Y 2.90-3.14, 2 Sn 2.96
Sn  0.2500  0.7879  0.6580  5 Y 3.05-3.34
La  0.7500  0.3062  0.7548  4 Sn 3.36-3.73, 2 Y 3.64
La  0.2500  0.6938  0.2452  4 Sn 3.36-3.73, 2 Y 3.64
Y  0.7500  0.1667  0.1083  5 Sn 2.90-3.14
Y  0.2500  0.2555  0.5270  4 Sn 3.20-3.34
Y  0.7500  0.7445  0.4730  4 Sn 3.20-3.34
Y  0.2500  0.8333  0.8917  5 Sn 2.90-3.14

=====

[8]
VASP calculation (PBE) on LaY2Zn2Sn2 after structural relaxation.

Properties
E_form   -0.385 eV per atom

Lattice parameters (Å, degrees): 4.6828 4.6828 9.9736 76.42 76.42 60.00
With the nearest neighbours (Å) after each atom.
Positions (direct):
Zn  0.4212  0.4212  0.7363  3 Sn 2.75, 3 Y 2.99
Zn  0.5788  0.5788  0.2637  3 Sn 2.75, 3 Y 2.99
La  0.0000  0.0000  0.0000  6 Sn 3.37, 6 Zn 3.70
Y  0.8678  0.8678  0.3965  3 Zn 2.99, 3 Sn 3.24
Y  0.1322  0.1322  0.6035  3 Zn 2.99, 3 Sn 3.24
Sn  0.2632  0.2632  0.2104  3 Zn 2.75
Sn  0.7368  0.7368  0.7896  3 Zn 2.75

=====

What did the first record say?
VASP calculation (PBE) on La12YSn3 after structural relaxation.

Properties
E_form   -0.350 eV per atom

Lattice parameters (Å, degrees): 5.0626 5.0626 20.5083 90.00 90.00 90.00
With the nearest neighbours (Å) after each atom.
Positions (direct):
La  0.5000  0.0000  0.8676  2 Sn 3.57, 8 La 3.58-3.71, 2 Y 3.71
La  0.5000  0.5000  0.7439  8 La 3.56-3.58, 4 Sn 3.58
La  0.5000  0.5000  0.2561  8 La 3.56-3.58, 4 Sn 3.58
La  0.0000  0.5000  0.6218  8 La 3.56-3.58, 4 Sn 3.56-3.57
La  0.0000  0.5000  0.1324  2 Sn 3.57, 8 La 3.58-3.71, 2 Y 3.71
La  0.0000  0.5000  0.8676  2 Sn 3.57, 8 La 3.58-3.71, 2 Y 3.71
La  0.5000  0.5000  0.0000  4 Y 3.58, 8 La 3.71
La  0.5000  0.0000  0.6218  8 La 3.56-3.58, 4 Sn 3.56-3.57
La  0.5000  0.5000  0.5000  8 La 3.56, 4 Sn 3.58
La  0.5000  0.0000  0.3782  4 Sn 3.56-3.57, 8 La 3.56-3.58
La  0.0000  0.5000  0.3782  8 La 3.56-3.58, 4 Sn 3.56-3.57
La  0.5000  0.0000  0.1324  2 Sn 3.57, 8 La 3.58-3.71, 2 Y 3.71
Sn  0.0000  0.0000  0.5000  12 La 3.56-3.58
Sn  0.0000  0.0000  0.7446  12 La 3.57-3.58
Sn  0.0000  0.0000  0.2554  12 La 3.57-3.58
Y  0.0000  0.0000  0.0000  12 La 3.58-3.71

=====

Repeat the second record exactly.
VASP calculation (PBE) on LaY4Sn4 after structural relaxation.

Properties
E_form   -0.492 eV per atom

Lattice parameters (Å, degrees): 6.1335 9.9861 9.9861 90.00 90.00 90.00
With the nearest neighbours (Å) after each atom.
Positions (direct):
Sn  0.5967  0.2062  0.6443  1 Sn 2.96, 5 Y 3.07-3.21
Sn  0.4033  0.6443  0.7938  1 Sn 2.96, 5 Y 3.07-3.21
Sn  0.9033  0.2938  0.8557  1 Sn 2.96, 5 Y 3.07-3.21
Sn  0.9033  0.7062  0.1443  1 Sn 2.96, 5 Y 3.07-3.21
Sn  0.5967  0.7938  0.3557  1 Sn 2.96, 5 Y 3.07-3.21
Sn  0.0967  0.8557  0.7062  1 Sn 2.96, 5 Y 3.07-3.21
Sn  0.0967  0.1443  0.2938  1 Sn 2.96, 5 Y 3.07-3.21
Sn  0.4033  0.3557  0.2062  1 Sn 2.96, 5 Y 3.07-3.21
Y  0.3920  0.3513  0.8928  5 Sn 3.07-3.21
Y  0.6080  0.1072  0.3513  5 Sn 3.07-3.21
Y  0.1080  0.1487  0.6072  5 Sn 3.07-3.21
Y  0.8920  0.3928  0.1487  5 Sn 3.07-3.21
Y  0.3920  0.6487  0.1072  5 Sn 3.07-3.21
Y  0.1080  0.8513  0.3928  5 Sn 3.07-3.21
Y  0.6080  0.8928  0.6487  5 Sn 3.07-3.21
Y  0.8920  0.6072  0.8513  5 Sn 3.07-3.21
La  0.0000  0.0000  0.0000  4 Sn 3.32
La  0.5000  0.5000  0.5000  4 Sn 3.32